DFT (PBE-GGA) results for BeRhCl2 after structural relaxation.

a = 6.067 Å, b = 6.804 Å, c = 4.483 Å
α = 90.00°, β = 132.40°, γ = 90.00°
Space group C2/m (No. 12)
Inequivalent atoms, fractional coordinates:
1 Be 0.000 0.000 0.000 [2 per cell]
2 Rh 0.000 0.500 0.000 [2 per cell]
3 Cl 0.250 0.250 0.500 [4 per cell]

Output
Energy relative to the lowest polymorph listed for this composition   606.8 meV per atom
D(E_F)   0.788 states/eV/atom

=====

DFT (PBE-GGA) results for PmSc3Ga4 after structural relaxation.

a = 9.729 Å, b = 6.889 Å, c = 4.864 Å
α = 90.00°, β = 90.00°, γ = 90.00°
Space group Pmma (No. 51)
Inequivalent atoms, fractional coordinates:
1 Pm 0.000 0.000 0.000 [2 per cell]
2 Sc 0.000 0.500 0.000 [2 per cell]
3 Sc 0.250 0.000 0.499 [2 per cell]
4 Sc 0.250 0.500 0.499 [2 per cell]
5 Ga 0.000 0.268 0.500 [4 per cell]
6 Ga 0.250 0.268 0.999 [4 per cell]

Output
Energy relative to the elements   -4.53 eV per formula unit
D(E_F)   0.413 states/eV/atom

=====

DFT (PBE-GGA) results for Tl7Au6 after structural relaxation.

a = 7.1185 Å, b = 7.1185 Å, c = 25.3608 Å
α = 90.00°, β = 90.00°, γ = 120.00°
Space group R-3m (No. 166, hexagonal axes)
Inequivalent atoms, fractional coordinates:
1 Tl 0.0000 0.0000 0.0000 [3 per cell]
2 Tl 0.0220 0.5110 0.4190 [18 per cell]
3 Au 0.0000 0.0000 0.1607 [6 per cell]
4 Au 0.0000 0.0000 0.3398 [6 per cell]
5 Au 0.0000 0.0000 0.4465 [6 per cell]

Output
Energy relative to the elements   2.49 eV per formula unit
D(E_F)   0.500 states/eV/atom

=====

DFT (PBE-GGA) results for CeSiAu3 after structural relaxation.

a = 4.862 Å, b = 4.862 Å, c = 4.862 Å
α = 90.00°, β = 90.00°, γ = 90.00°
Space group Pm-3m (No. 221)
Inequivalent atoms, fractional coordinates:
1 Ce 0.000 0.000 0.000 [1 per cell]
2 Si 0.500 0.500 0.500 [1 per cell]
3 Au 0.000 0.500 0.500 [3 per cell]

Output
Energy relative to the lowest polymorph listed for this composition   221.8 meV per atom
D(E_F)   1.939 states/eV/atom

=====

DFT (PBE-GGA) results for Ca3Pr3NdTe8 after structural relaxation.

a = 8.9851 Å, b = 8.9851 Å, c = 22.2868 Å
α = 90.00°, β = 90.00°, γ = 120.00°
Space group R-3m (No. 166, hexagonal axes)
Inequivalent atoms, fractional coordinates:
1 Ca 0.0000 0.5000 0.0000 [9 per cell]
2 Pr 0.0000 0.5000 0.5000 [9 per cell]
3 Nd 0.0000 0.0000 0.5000 [3 per cell]
4 Te 0.0000 0.0000 0.2521 [6 per cell]
5 Te 0.0009 0.5004 0.7486 [18 per cell]

Output
D(E_F)   0.336 states/eV/atom
E   -4.874 eV per atom

=====

DFT (PBE-GGA) results for BeRuW2 after structural relaxation.

a = 2.771 Å, b = 4.212 Å, c = 4.877 Å
α = 90.00°, β = 98.54°, γ = 90.00°
Space group Pm (No. 6)
Inequivalent atoms, fractional coordinates:
1 Be 0.000 0.000 0.000 [1 per cell]
2 Ru 0.016 0.500 0.281 [1 per cell]
3 W 0.424 0.500 0.810 [1 per cell]
4 W 0.619 0.000 0.495 [1 per cell]

Output
Energy relative to the elements   0.40 eV per formula unit
Energy relative to the lowest polymorph listed for this composition   70.6 meV per atom
D(E_F)   0.692 states/eV/atom

=====

DFT (PBE-GGA) results for Ho4BiRu after structural relaxation.

a = 8.929 Å, b = 13.347 Å, c = 6.155 Å
α = 90.00°, β = 112.62°, γ = 90.00°
Space group C2/c (No. 15)
Inequivalent atoms, fractional coordinates:
1 Ho 0.109 0.167 0.064 [8 per cell]
2 Ho 0.224 0.428 0.355 [8 per cell]
3 Bi 0.000 0.373 0.750 [4 per cell]
4 Ru 0.000 0.000 0.250 [4 per cell]

Output
Energy relative to the elements   -3.00 eV per formula unit
D(E_F)   0.742 states/eV/atom

=====

DFT (PBE-GGA) results for TbPmAu after structural relaxation.

a = 3.652 Å, b = 3.652 Å, c = 12.506 Å
α = 90.00°, β = 90.00°, γ = 90.00°
Space group I4mm (No. 107)
Inequivalent atoms, fractional coordinates:
1 Tb 0.000 0.000 0.000 [2 per cell]
2 Pm 0.000 0.000 0.289 [2 per cell]
3 Au 0.000 0.000 0.634 [2 per cell]

Output
Energy relative to the elements   -1.54 eV per formula unit
Energy relative to the lowest polymorph listed for this composition   70.6 meV per atom
D(E_F)   1.165 states/eV/atom

=====

DFT (PBE-GGA) results for GdPaPdRu after structural relaxation.

a = 6.951 Å, b = 6.951 Å, c = 6.951 Å
α = 90.00°, β = 90.00°, γ = 90.00°
Space group F-43m (No. 216)
Inequivalent atoms, fractional coordinates:
1 Gd 0.000 0.000 0.000 [4 per cell]
2 Pa 0.000 0.000 0.500 [4 per cell]
3 Pd 0.250 0.250 0.750 [4 per cell]
4 Ru 0.250 0.250 0.250 [4 per cell]

Output
Energy relative to the elements   -1.72 eV per formula unit
D(E_F)   1.570 states/eV/atom

=====

DFT (PBE-GGA) results for Cd3Cu after structural relaxation.

a = 3.0863 Å, b = 3.0863 Å, c = 9.4490 Å
α = 90.00°, β = 90.00°, γ = 120.00°
Space group P-6m2 (No. 187)
Inequivalent atoms, fractional coordinates:
1 Cd 0.0000 0.0000 0.0000 [1 per cell]
2 Cd 0.6667 0.3333 0.2778 [2 per cell]
3 Cu 0.0000 0.0000 0.5000 [1 per cell]

Output
Energy relative to the elements   0.26 eV per formula unit
D(E_F)   0.228 states/eV/atom

=====

DFT (PBE-GGA) results for CuP2Ru after structural relaxation.

a = 3.019 Å, b = 4.653 Å, c = 4.131 Å
α = 90.00°, β = 102.11°, γ = 90.00°
Space group Pm (No. 6)
Inequivalent atoms, fractional coordinates:
1 Cu 0.000 0.000 0.000 [1 per cell]
2 P 0.016 0.500 0.751 [1 per cell]
3 P 0.595 0.000 0.455 [1 per cell]
4 Ru 0.383 0.500 0.316 [1 per cell]

Output
Energy relative to the elements   -0.25 eV per formula unit
Energy relative to the lowest polymorph listed for this composition   87.5 meV per atom
D(E_F)   0.299 states/eV/atom

=====

DFT (PBE-GGA) results for SrLi2Os after structural relaxation.

a = 8.894 Å, b = 2.822 Å, c = 6.888 Å
α = 90.00°, β = 94.08°, γ = 90.00°
Space group Cm (No. 8)
Inequivalent atoms, fractional coordinates:
1 Sr 0.000 0.000 0.000 [2 per cell]
2 Li 0.013 0.500 0.578 [2 per cell]
3 Li 0.269 0.500 0.402 [2 per cell]
4 Os 0.256 0.000 0.732 [2 per cell]

Output
Energy relative to the elements   2.22 eV per formula unit
Energy relative to the lowest polymorph listed for this composition   58.2 meV per atom
D(E_F)   0.673 states/eV/atom